VASP calculation (GGA-PBE) on crystalline B3Ir2Rh3 at its relaxed geometry.

Unit cell a=4.056 b=4.938 c=10.687 alpha=89.77 beta=90.09 gamma=94.50
Atoms (fractional coordinates):
1 B 0.246 0.240 0.549
2 B 0.215 0.442 0.252
3 B 0.752 0.757 0.453
4 B 0.782 0.560 0.749
5 B 0.236 0.249 0.950
6 B 0.754 0.749 0.051
7 Ir 0.266 0.599 0.430
8 Ir 0.962 0.898 0.623
9 Ir 0.260 0.603 0.074
10 Ir 0.729 0.398 0.926
11 Rh 0.736 0.384 0.574
12 Rh 0.046 0.088 0.123
13 Rh 0.757 0.635 0.252
14 Rh 0.236 0.359 0.748
15 Rh 0.065 0.084 0.374
16 Rh 0.937 0.914 0.875

**Volume**: 13.339 Å³/atom
**Energy of formation**: -0.5 eV per formula unit
**Crystal system**: triclinic
**M_tot**: 0.0000 μB per atom

VASP calculation (GGA-PBE) on crystalline Er3Hg4Pb at its relaxed geometry.

Unit cell a=3.533 b=7.956 c=8.610 alpha=113.98 beta=101.84 gamma=90.00
Atoms (fractional coordinates):
1 Er 0.815 0.840 0.631
2 Er 0.000 0.500 0.000
3 Er 0.185 0.160 0.369
4 Hg 0.367 0.186 0.733
5 Hg 0.652 0.448 0.304
6 Hg 0.348 0.552 0.696
7 Hg 0.633 0.814 0.267
8 Pb 0.500 0.000 0.000

**Volume**: 26.930 Å³/atom
**Energy of formation**: -2.2 eV per formula unit
**Crystal system**: monoclinic
**M_tot**: 0.0000 μB per atom

VASP calculation (GGA-PBE) on crystalline Ti5ZnPd8 at its relaxed geometry.

Unit cell a=6.675 b=6.675 c=6.675 alpha=108.37 beta=111.69 gamma=108.37
Atoms (fractional coordinates):
1 Ti 0.500 0.000 0.500
2 Ti 0.786 0.694 0.696
3 Ti 0.908 0.910 0.214
4 Ti 0.304 0.090 0.998
5 Ti 0.002 0.306 0.092
6 Zn 0.250 0.500 0.750
7 Pd 0.567 0.924 0.874
8 Pd 0.754 0.276 0.359
9 Pd 0.083 0.724 0.478
10 Pd 0.522 0.605 0.246
11 Pd 0.950 0.076 0.643
12 Pd 0.641 0.395 0.917
13 Pd 0.126 0.694 0.050
14 Pd 0.357 0.306 0.433

**Volume**: 16.331 Å³/atom
**Energy of formation**: -5.4 eV per formula unit
**Crystal system**: tetragonal
**M_tot**: 0.0000 μB per atom

Copy entry 3 word for word.
VASP calculation (GGA-PBE) on crystalline Ti5ZnPd8 at its relaxed geometry.

Unit cell a=6.675 b=6.675 c=6.675 alpha=108.37 beta=111.69 gamma=108.37
Atoms (fractional coordinates):
1 Ti 0.500 0.000 0.500
2 Ti 0.786 0.694 0.696
3 Ti 0.908 0.910 0.214
4 Ti 0.304 0.090 0.998
5 Ti 0.002 0.306 0.092
6 Zn 0.250 0.500 0.750
7 Pd 0.567 0.924 0.874
8 Pd 0.754 0.276 0.359
9 Pd 0.083 0.724 0.478
10 Pd 0.522 0.605 0.246
11 Pd 0.950 0.076 0.643
12 Pd 0.641 0.395 0.917
13 Pd 0.126 0.694 0.050
14 Pd 0.357 0.306 0.433

**Volume**: 16.331 Å³/atom
**Energy of formation**: -5.4 eV per formula unit
**Crystal system**: tetragonal
**M_tot**: 0.0000 μB per atom

Please write out number 3 again, unchanged.
VASP calculation (GGA-PBE) on crystalline Ti5ZnPd8 at its relaxed geometry.

Unit cell a=6.675 b=6.675 c=6.675 alpha=108.37 beta=111.69 gamma=108.37
Atoms (fractional coordinates):
1 Ti 0.500 0.000 0.500
2 Ti 0.786 0.694 0.696
3 Ti 0.908 0.910 0.214
4 Ti 0.304 0.090 0.998
5 Ti 0.002 0.306 0.092
6 Zn 0.250 0.500 0.750
7 Pd 0.567 0.924 0.874
8 Pd 0.754 0.276 0.359
9 Pd 0.083 0.724 0.478
10 Pd 0.522 0.605 0.246
11 Pd 0.950 0.076 0.643
12 Pd 0.641 0.395 0.917
13 Pd 0.126 0.694 0.050
14 Pd 0.357 0.306 0.433

**Volume**: 16.331 Å³/atom
**Energy of formation**: -5.4 eV per formula unit
**Crystal system**: tetragonal
**M_tot**: 0.0000 μB per atom

Which of these has the highest energy of formation? B3Ir2Rh3